A relaxed structure of YNbRu. Source: Alexandria, functional PBE-GGA.

Lattice parameters (Å, degrees): 4.356 11.339 4.931 90.00 90.00 90.00
Space group Cmcm (No. 63)
Inequivalent atoms, fractional coordinates:
1 Y 0.000 0.070 0.250
2 Nb 0.000 0.247 0.750
3 Ru 0.000 0.369 0.250

## Properties
Energy relative to the lowest polymorph listed for this composition, meV/atom: 104
Energy, eV per formula unit: -25.9
Total magnetic moment, μB/cell: 0.00
ρ, Mg/m³: 7.72

***

A relaxed structure of Y3NbRu. Source: Alexandria, functional PBE-GGA.

Lattice parameters (Å, degrees): 5.252 5.252 5.252 90.00 90.00 90.00
Space group Pm-3m (No. 221)
Inequivalent atoms, fractional coordinates:
1 Y 0.000 0.000 0.500
2 Nb 0.000 0.000 0.000
3 Ru 0.500 0.500 0.500

## Properties
Energy relative to the lowest polymorph listed for this composition, meV/atom: 652
Energy, eV per formula unit: -33.3
Total magnetic moment, μB/cell: 1.20
ρ, Mg/m³: 5.28

***

A relaxed structure of YNbRu. Source: Alexandria, functional PBE-GGA.

Lattice parameters (Å, degrees): 9.522 4.204 6.335 90.00 92.67 90.00
Space group Cm (No. 8)
Inequivalent atoms, fractional coordinates:
1 Y 0.000 0.000 0.000
2 Y 0.216 0.500 0.271
3 Nb 0.209 0.500 0.737
4 Nb 0.413 0.000 0.543
5 Ru 0.072 0.000 0.556
6 Ru 0.298 0.000 0.932

## Properties
Energy relative to the lowest polymorph listed for this composition, meV/atom: 108
Energy, eV per formula unit: -25.9
Total magnetic moment, μB/cell: 0.00
ρ, Mg/m³: 7.42

***

A relaxed structure of YNbRu. Source: Alexandria, functional PBE-GGA.

Lattice parameters (Å, degrees): 4.914 3.339 14.585 90.00 90.00 90.00
Space group Amm2 (No. 38)
Inequivalent atoms, fractional coordinates:
1 Y 0.000 0.000 0.000
2 Y 0.500 0.000 0.162
3 Nb 0.000 0.000 0.702
4 Nb 0.500 0.000 0.846
5 Ru 0.000 0.000 0.334
6 Ru 0.500 0.000 0.485

## Properties
Energy relative to the lowest polymorph listed for this composition, meV/atom: 64
Energy, eV per formula unit: -26.0
Total magnetic moment, μB/cell: 0.00
ρ, Mg/m³: 7.85

***

A relaxed structure of YNbRu4. Source: Alexandria, functional PBE-GGA.

Lattice parameters (Å, degrees): 7.392 7.392 7.392 90.00 90.00 90.00
Space group F-43m (No. 216)
Inequivalent atoms, fractional coordinates:
1 Y 0.000 0.000 0.000
2 Nb 0.250 0.250 0.250
3 Ru 0.125 0.125 0.625

## Properties
Energy, eV per formula unit: -54.3
Total magnetic moment, μB/cell: 0.00
ρ, Mg/m³: 9.64

***

A relaxed structure of YNb2Ru2. Source: Alexandria, functional PBE-GGA.

Lattice parameters (Å, degrees): 7.769 7.769 3.081 90.00 90.00 90.00
Space group P4/mbm (No. 127)
Inequivalent atoms, fractional coordinates:
1 Y 0.000 0.000 0.000
2 Nb 0.153 0.347 0.500
3 Ru 0.136 0.636 0.000

## Properties
Energy relative to the lowest polymorph listed for this composition, meV/atom: 162
Energy, eV per formula unit: -45.5
Total magnetic moment, μB/cell: 0.00
ρ, Mg/m³: 8.52

***

A relaxed structure of YNb2Ru. Source: Alexandria, functional PBE-GGA.

Lattice parameters (Å, degrees): 7.734 7.734 5.709 90.00 90.00 90.00
Space group I-42d (No. 122)
Inequivalent atoms, fractional coordinates:
1 Y 0.000 0.000 0.000
2 Nb 0.193 0.250 0.625
3 Ru 0.000 0.000 0.500

## Properties
Energy relative to the lowest polymorph listed for this composition, meV/atom: 124
Energy, eV per formula unit: -34.6
Total magnetic moment, μB/cell: 0.00
ρ, Mg/m³: 7.31

***

A relaxed structure of YZr2NbRu. Source: Alexandria, functional PBE-GGA.

Lattice parameters (Å, degrees): 5.119 5.119 4.655 90.00 90.00 90.00
Space group P4/mmm (No. 123)
Inequivalent atoms, fractional coordinates:
1 Y 0.000 0.000 0.000
2 Zr 0.000 0.500 0.000
3 Nb 0.500 0.500 0.500
4 Ru 0.000 0.000 0.500

## Properties
Energy, eV per formula unit: -34.6
Total magnetic moment, μB/cell: 1.25
ρ, Mg/m³: 6.33

***

A relaxed structure of Nb3ZnRu4. Source: Alexandria, functional PBE-GGA.

Lattice parameters (Å, degrees): 4.455 4.455 6.254 90.00 90.00 90.00
Space group P4/mmm (No. 123)
Inequivalent atoms, fractional coordinates:
1 Nb 0.000 0.000 0.000
2 Nb 0.000 0.000 0.500
3 Nb 0.500 0.500 0.000
4 Zn 0.500 0.500 0.500
5 Ru 0.000 0.500 0.252

## Properties
Energy, eV per formula unit: -70.9
Total magnetic moment, μB/cell: 0.00
ρ, Mg/m³: 10.01

***

A relaxed structure of Nb5ZnRu6. Source: Alexandria, functional PBE-GGA.

Lattice parameters (Å, degrees): 4.373 13.137 6.570 90.00 90.00 90.00
Space group Cmmm (No. 65)
Inequivalent atoms, fractional coordinates:
1 Nb 0.000 0.000 0.000
2 Nb 0.000 0.332 0.000
3 Nb 0.000 0.341 0.500
4 Zn 0.000 0.000 0.500
5 Ru 0.000 0.168 0.261
6 Ru 0.000 0.500 0.252

## Properties
Energy, eV per formula unit: -110.4
Total magnetic moment, μB/cell: 0.00
ρ, Mg/m³: 10.00

***

A relaxed structure of Nb2ZnRu. Source: Alexandria, functional PBE-GGA.

Lattice parameters (Å, degrees): 2.8274 2.8274 30.3262 90.00 90.00 120.00
Space group R-3m (No. 166, hexagonal axes)
Inequivalent atoms, fractional coordinates:
1 Nb 0.0000 0.0000 0.0922
2 Zn 0.0000 0.0000 0.0000
3 Ru 0.0000 0.0000 0.5000

## Properties
Energy, eV per formula unit: -29.5
Total magnetic moment, μB/cell: 0.00
ρ, Mg/m³: 8.36

***

A relaxed structure of Nb3ZnRu. Source: Alexandria, functional PBE-GGA.

Lattice parameters (Å, degrees): 4.644 4.644 4.644 90.00 90.00 90.00
Space group Pm-3m (No. 221)
Inequivalent atoms, fractional coordinates:
1 Nb 0.000 0.000 0.500
2 Zn 0.000 0.000 0.000
3 Ru 0.500 0.500 0.500

## Properties
Energy relative to the lowest polymorph listed for this composition, meV/atom: 459
Energy, eV per formula unit: -33.5
Total magnetic moment, μB/cell: 0.93
ρ, Mg/m³: 7.38